[1]
Here is a relaxed Pa3Zn5Ga2 crystal from Alexandria. Energies are from GGA-PBE.

Properties
Symmetry: Ibam (72)

Unit cell a=8.602 b=8.602 c=8.602 alpha=104.79 beta=89.80 gamma=138.43
Element x y z (fractional)
Pa  0.104  0.231  0.335
Pa  0.250  0.250  0.000
Pa  0.396  0.731  0.127
Pa  0.604  0.269  0.873
Pa  0.750  0.750  0.000
Pa  0.896  0.769  0.665
Zn  0.010  0.750  0.260
Zn  0.119  0.626  0.745
Zn  0.250  0.750  0.500
Zn  0.381  0.126  0.507
Zn  0.490  0.750  0.740
Zn  0.510  0.250  0.260
Zn  0.619  0.874  0.493
Zn  0.750  0.250  0.500
Zn  0.881  0.374  0.255
Zn  0.990  0.250  0.740
Ga  0.160  0.847  0.007
Ga  0.340  0.347  0.687
Ga  0.660  0.653  0.313
Ga  0.840  0.153  0.993



[2]
Here is a relaxed PaZn5Ga5 crystal from Alexandria. Energies are from GGA-PBE.

Properties
Symmetry: P-6m2 (187)

Unit cell a=5.026 b=5.026 c=9.225 alpha=90.00 beta=90.00 gamma=120.00
Element x y z (fractional)
Pa  0.000  0.000  0.000
Zn  0.005  0.502  0.500
Zn  0.498  0.502  0.500
Zn  0.498  0.995  0.500
Zn  0.667  0.333  0.262
Zn  0.667  0.333  0.738
Ga  0.000  0.000  0.334
Ga  0.000  0.000  0.666
Ga  0.333  0.667  0.170
Ga  0.333  0.667  0.830
Ga  0.667  0.333  0.000



The records above yield DFT formation energy values of -0.02; 0.07 eV/atom, respectively.